A relaxed Pa2SbN2 crystal. Source: Alexandria via LeMat-Bulk, functional PBE-GGA.

Unit cell a=3.9318 b=3.9318 c=6.7811 alpha=106.85 beta=106.85 gamma=90.00
Last column: nearest neighbours and their distance in Å.
Fractional positions:
Pa 0.3452 0.3452 0.6903  4 N 2.29
Pa 0.6548 0.6548 0.3097  4 N 2.29
Sb 0.0000 0.0000 0.0000  8 Pa 3.38, 8 N 3.66
N 0.7500 0.2500 0.5000  4 Pa 2.29
N 0.2500 0.7500 0.5000  4 Pa 2.29

Calculated values
As for the symmetry: No. 139. As for the energy relative to the elements, uncorrected: -1.50 eV/atom. The calculation puts the volume at 95.61 Å³ per cell.